1.
# Ru2Rh (GGA-PBEsol, optimized geometry)
# DOS(E_F) (states/eV/cell): 6.59
# M_tot (μB/atom): 0.000
data_Ru2Rh
_chemical_formula_sum 'Ru4 Rh2'
_cell_length_a 3.7641
_cell_length_b 3.7715
_cell_length_c 5.9418
_cell_angle_alpha 71.50
_cell_angle_beta 90.00
_cell_angle_gamma 90.00
_space_group_name_H-M_alt 'P 1'
_space_group_IT_number 1
loop_
_space_group_symop_operation_xyz
'x,y,z'
loop_
_atom_site_label
_atom_site_type_symbol
_atom_site_fract_x
_atom_site_fract_y
_atom_site_fract_z
Rh1 Rh 0.7500 0.5839 0.8321
Ru1 Ru 0.2500 0.7487 0.5026
Ru2 Ru 0.2500 0.0854 0.8293
Rh2 Rh 0.2500 0.4161 0.1679
Ru3 Ru 0.7500 0.2513 0.4974
Ru4 Ru 0.7500 0.9146 0.1707



2.
# Ru2Rh (GGA-PBEsol, optimized geometry)
# DOS(E_F) (states/eV/cell): 5.43
# M_tot (μB/atom): 0.000
data_Ru2Rh
_chemical_formula_sum 'Ru4 Rh2'
_cell_length_a 2.6844
_cell_length_b 5.0419
_cell_length_c 6.3131
_cell_angle_alpha 103.27
_cell_angle_beta 90.00
_cell_angle_gamma 105.44
_space_group_name_H-M_alt 'P 1'
_space_group_IT_number 1
loop_
_space_group_symop_operation_xyz
'x,y,z'
loop_
_atom_site_label
_atom_site_type_symbol
_atom_site_fract_x
_atom_site_fract_y
_atom_site_fract_z
Rh1 Rh 0.0274 0.0547 0.8044
Ru1 Ru 0.3583 0.7165 0.4706
Ru2 Ru 0.6417 0.2835 0.5294
Ru3 Ru 0.3031 0.6062 0.8588
Rh2 Rh 0.9726 0.9453 0.1956
Ru4 Ru 0.6969 0.3938 0.1412



3.
# Ru2Rh (GGA-PBEsol, optimized geometry)
# DOS(E_F) (states/eV/cell): 3.05
# M_tot (μB/atom): 0.000
data_Ru2Rh
_chemical_formula_sum 'Ru2 Rh1'
_cell_length_a 2.6656
_cell_length_b 2.6656
_cell_length_c 5.9645
_cell_angle_alpha 102.91
_cell_angle_beta 102.91
_cell_angle_gamma 90.00
_space_group_name_H-M_alt 'P 1'
_space_group_IT_number 1
loop_
_space_group_symop_operation_xyz
'x,y,z'
loop_
_atom_site_label
_atom_site_type_symbol
_atom_site_fract_x
_atom_site_fract_y
_atom_site_fract_z
Ru1 Ru 0.1696 0.1696 0.3392
Rh1 Rh 0.5000 0.5000 0.0000
Ru2 Ru 0.8304 0.8304 0.6608



4.
# Ru2Rh (GGA-PBEsol, optimized geometry)
# DOS(E_F) (states/eV/cell): 3.12
# M_tot (μB/atom): 0.000
data_Ru2Rh
_chemical_formula_sum 'Ru2 Rh1'
_cell_length_a 2.6599
_cell_length_b 3.7643
_cell_length_c 4.6176
_cell_angle_alpha 114.05
_cell_angle_beta 106.74
_cell_angle_gamma 90.00
_space_group_name_H-M_alt 'P 1'
_space_group_IT_number 1
loop_
_space_group_symop_operation_xyz
'x,y,z'
loop_
_atom_site_label
_atom_site_type_symbol
_atom_site_fract_x
_atom_site_fract_y
_atom_site_fract_z
Ru1 Ru 0.3303 0.3303 0.6607
Ru2 Ru 0.6697 0.6697 0.3393
Rh1 Rh 0.0000 0.0000 0.0000



Relative calculated energies, zero for the most stable structure, unit eV/atom: 1 0.064; 2 0.000; 3 0.046; 4 0.058.



1.
# Ru2Rh (GGA-PBEsol, optimized geometry)
# DOS(E_F) (states/eV/cell): 12.03
# M_tot (μB/atom): 0.000
data_Ru2Rh
_chemical_formula_sum 'Ru8 Rh4'
_cell_length_a 3.7685
_cell_length_b 3.7685
_cell_length_c 11.5931
_cell_angle_alpha 99.35
_cell_angle_beta 99.35
_cell_angle_gamma 90.00
_space_group_name_H-M_alt 'P 1'
_space_group_IT_number 1
loop_
_space_group_symop_operation_xyz
'x,y,z'
loop_
_atom_site_label
_atom_site_type_symbol
_atom_site_fract_x
_atom_site_fract_y
_atom_site_fract_z
Ru1 Ru 0.6670 0.1670 0.3339
Rh1 Rh 0.1678 0.6678 0.3355
Ru2 Ru 0.8330 0.3330 0.6661
Ru3 Ru 0.0010 0.5010 0.0019
Ru4 Ru 0.7510 0.7510 0.5019
Rh2 Rh 0.3322 0.8322 0.6645
Ru5 Ru 0.4990 0.9990 0.9981
Ru6 Ru 0.2490 0.2490 0.4981
Rh3 Rh 0.9178 0.9178 0.8355
Rh4 Rh 0.0822 0.0822 0.1645
Ru7 Ru 0.5830 0.5830 0.1661
Ru8 Ru 0.4170 0.4170 0.8339



2.
# Ru2Rh (GGA-PBEsol, optimized geometry)
# DOS(E_F) (states/eV/cell): 4.92
# M_tot (μB/atom): 0.000
data_Ru2Rh
_chemical_formula_sum 'Ru4 Rh2'
_cell_length_a 2.6851
_cell_length_b 5.0406
_cell_length_c 6.3135
_cell_angle_alpha 103.31
_cell_angle_beta 90.00
_cell_angle_gamma 105.45
_space_group_name_H-M_alt 'P 1'
_space_group_IT_number 1
loop_
_space_group_symop_operation_xyz
'x,y,z'
loop_
_atom_site_label
_atom_site_type_symbol
_atom_site_fract_x
_atom_site_fract_y
_atom_site_fract_z
Ru1 Ru 0.3889 0.7778 0.2786
Rh1 Rh 0.6681 0.3362 0.3366
Ru2 Ru 0.3333 0.6665 0.6660
Ru3 Ru 0.7233 0.4465 0.9427
Rh2 Rh 0.9988 0.9976 0.9975
Ru4 Ru 0.0543 0.1087 0.6120



Relative calculated energies, zero for the most stable structure, unit eV/atom: 1 0.056; 2 0.000.



1.
# SrRuRh2 (GGA-PBEsol, optimized geometry)
# DOS(E_F) (states/eV/cell): 2.78
# M_tot (μB/atom): 0.909
data_SrRuRh2
_chemical_formula_sum 'Sr1 Ru1 Rh2'
_cell_length_a 4.5987
_cell_length_b 4.5987
_cell_length_c 4.5987
_cell_angle_alpha 60.00
_cell_angle_beta 60.00
_cell_angle_gamma 60.00
_space_group_name_H-M_alt 'P 1'
_space_group_IT_number 1
loop_
_space_group_symop_operation_xyz
'x,y,z'
loop_
_atom_site_label
_atom_site_type_symbol
_atom_site_fract_x
_atom_site_fract_y
_atom_site_fract_z
Rh1 Rh 0.2500 0.2500 0.2500
Rh2 Rh 0.7500 0.7500 0.7500
Ru1 Ru 0.0000 0.0000 0.0000
Sr1 Sr 0.5000 0.5000 0.5000



2.
# SrRuRh2 (GGA-PBEsol, optimized geometry)
# DOS(E_F) (states/eV/cell): 7.88
# M_tot (μB/atom): 0.267
data_SrRuRh2
_chemical_formula_sum 'Sr1 Ru1 Rh2'
_cell_length_a 4.5557
_cell_length_b 4.5557
_cell_length_c 4.5557
_cell_angle_alpha 60.00
_cell_angle_beta 60.00
_cell_angle_gamma 60.00
_space_group_name_H-M_alt 'P 1'
_space_group_IT_number 1
loop_
_space_group_symop_operation_xyz
'x,y,z'
loop_
_atom_site_label
_atom_site_type_symbol
_atom_site_fract_x
_atom_site_fract_y
_atom_site_fract_z
Rh1 Rh 0.0000 0.0000 0.0000
Ru1 Ru 0.5000 0.5000 0.5000
Rh2 Rh 0.2500 0.2500 0.2500
Sr1 Sr 0.7500 0.7500 0.7500



Relative calculated energies, zero for the most stable structure, unit eV/atom: 1 0.000; 2 0.102.



1.
# TaRuRh (GGA-PBEsol, optimized geometry)
# DOS(E_F) (states/eV/cell): 3.15
# M_tot (μB/atom): 0.001
data_TaRuRh
_chemical_formula_sum 'Ta1 Ru1 Rh1'
_cell_length_a 3.1110
_cell_length_b 3.1110
_cell_length_c 5.2098
_cell_angle_alpha 107.37
_cell_angle_beta 107.37
_cell_angle_gamma 90.00
_space_group_name_H-M_alt 'P 1'
_space_group_IT_number 1
loop_
_space_group_symop_operation_xyz
'x,y,z'
loop_
_atom_site_label
_atom_site_type_symbol
_atom_site_fract_x
_atom_site_fract_y
_atom_site_fract_z
Rh1 Rh 0.9874 0.9874 0.9747
Ru1 Ru 0.6819 0.6819 0.3638
Ta1 Ta 0.3307 0.3307 0.6615



2.
# TaRuRh (GGA-PBEsol, optimized geometry)
# DOS(E_F) (states/eV/cell): 5.01
# M_tot (μB/atom): 0.000
data_TaRuRh
_chemical_formula_sum 'Ta1 Ru1 Rh1'
_cell_length_a 4.1923
_cell_length_b 4.1923
_cell_length_c 4.1923
_cell_angle_alpha 60.00
_cell_angle_beta 60.00
_cell_angle_gamma 60.00
_space_group_name_H-M_alt 'P 1'
_space_group_IT_number 1
loop_
_space_group_symop_operation_xyz
'x,y,z'
loop_
_atom_site_label
_atom_site_type_symbol
_atom_site_fract_x
_atom_site_fract_y
_atom_site_fract_z
Ta1 Ta 0.5000 0.5000 0.5000
Rh1 Rh 0.7500 0.7500 0.7500
Ru1 Ru 0.0000 0.0000 0.0000



Relative calculated energies, zero for the most stable structure, unit eV/atom: 1 0.000; 2 0.639.



1.
# TeRuRh (GGA-PBEsol, optimized geometry)
# DOS(E_F) (states/eV/cell): 3.09
# M_tot (μB/atom): 0.000
data_TeRuRh
_chemical_formula_sum 'Te1 Ru1 Rh1'
_cell_length_a 3.0666
_cell_length_b 3.0666
_cell_length_c 6.0399
_cell_angle_alpha 90.00
_cell_angle_beta 90.00
_cell_angle_gamma 120.00
_space_group_name_H-M_alt 'P 1'
_space_group_IT_number 1
loop_
_space_group_symop_operation_xyz
'x,y,z'
loop_
_atom_site_label
_atom_site_type_symbol
_atom_site_fract_x
_atom_site_fract_y
_atom_site_fract_z
Rh1 Rh 0.0000 0.0000 0.0038
Te1 Te 0.3333 0.6667 0.3362
Ru1 Ru 0.6667 0.3333 0.6600



2.
# TeRuRh (GGA-PBEsol, optimized geometry)
# DOS(E_F) (states/eV/cell): 3.88
# M_tot (μB/atom): 0.000
data_TeRuRh
_chemical_formula_sum 'Te1 Ru1 Rh1'
_cell_length_a 3.1674
_cell_length_b 4.2296
_cell_length_c 4.2296
_cell_angle_alpha 120.00
_cell_angle_beta 90.00
_cell_angle_gamma 90.00
_space_group_name_H-M_alt 'P 1'
_space_group_IT_number 1
loop_
_space_group_symop_operation_xyz
'x,y,z'
loop_
_atom_site_label
_atom_site_type_symbol
_atom_site_fract_x
_atom_site_fract_y
_atom_site_fract_z
Rh1 Rh 0.0654 0.0000 0.0000
Te1 Te 0.3456 0.6667 0.3333
Ru1 Ru 0.5890 0.3333 0.6667



Relative calculated energies, zero for the most stable structure, unit eV/atom: 1 0.184; 2 0.000.



1.
# Tl2RuRh (GGA-PBEsol, optimized geometry)
# DOS(E_F) (states/eV/cell): 3.86
# M_tot (μB/atom): 0.000
data_Tl2RuRh
_chemical_formula_sum 'Tl2 Ru1 Rh1'
_cell_length_a 3.1367
_cell_length_b 3.1367
_cell_length_c 8.5468
_cell_angle_alpha 79.43
_cell_angle_beta 79.43
_cell_angle_gamma 60.00
_space_group_name_H-M_alt 'P 1'
_space_group_IT_number 1
loop_
_space_group_symop_operation_xyz
'x,y,z'
loop_
_atom_site_label
_atom_site_type_symbol
_atom_site_fract_x
_atom_site_fract_y
_atom_site_fract_z
Tl1 Tl 0.7506 0.7506 0.7483
Rh1 Rh 0.5000 0.5000 0.5000
Ru1 Ru 0.0000 0.0000 0.0000
Tl2 Tl 0.2494 0.2494 0.2517



2.
# Tl2RuRh (GGA-PBEsol, optimized geometry)
# DOS(E_F) (states/eV/cell): 5.05
# M_tot (μB/atom): 0.001
data_Tl2RuRh
_chemical_formula_sum 'Tl2 Ru1 Rh1'
_cell_length_a 3.2677
_cell_length_b 4.3655
_cell_length_c 5.3132
_cell_angle_alpha 90.00
_cell_angle_beta 107.90
_cell_angle_gamma 90.00
_space_group_name_H-M_alt 'P 1'
_space_group_IT_number 1
loop_
_space_group_symop_operation_xyz
'x,y,z'
loop_
_atom_site_label
_atom_site_type_symbol
_atom_site_fract_x
_atom_site_fract_y
_atom_site_fract_z
Rh1 Rh 0.2896 0.0000 0.4539
Tl1 Tl 0.7330 0.5000 0.3408
Tl2 Tl 0.0162 0.0000 0.9077
Ru1 Ru 0.4612 0.5000 0.7976



Relative calculated energies, zero for the most stable structure, unit eV/atom: 1 0.029; 2 0.000.